First-principles (GGA-PBE) data for an optimized crystal structure of LiAl2TlBr8, as listed in the Alexandria database.

Its crystal system is trigonal. As for the energy relative to the elements, uncorrected: -13.87 eV/f.u.

The structure belongs to space group P-3 (No. 147); the cell edges are 6.8241, 6.8241 and 9.7327 Å and the angles 90.00°, 90.00° and 120.00°. The distinct sites, in fractional coordinates, are Li at (0.0000, 0.0000, 0.0000), Al at (0.3333, 0.6667, 0.2469), Tl at (0.0000, 0.0000, 0.5000), Br at (0.0165, 0.3313, 0.1764) and Br at (0.3333, 0.6667, 0.4862).


First-principles (GGA-PBE) data for an optimized crystal structure of KIn3C4O12, as listed in the Alexandria database.

Its crystal system is trigonal. As for the energy relative to the elements, uncorrected: -27.07 eV/f.u.

The structure belongs to space group R32 (No. 155, hexagonal axes); the cell edges are 10.2072, 10.2072 and 9.0012 Å and the angles 90.00°, 90.00° and 120.00°. The distinct sites, in fractional coordinates, are K at (0.0000, 0.0000, 0.0000), In at (0.0000, 0.5298, 0.0000), C at (0.0000, 0.0000, 0.5000), C at (0.0000, 0.4692, 0.5000), O at (0.0000, 0.6001, 0.5000), O at (0.0000, 0.8720, 0.5000) and O at (0.0144, 0.2074, 0.8065).


First-principles (GGA-PBE) data for an optimized crystal structure of CaCoRu3, as listed in the Alexandria database.

Its crystal system is cubic. The formation enthalpy at 0 K comes out at 0.928 eV/atom. The calculation puts the energy above the most stable polymorph in this dataset at 0.0 meV/atom.

The structure belongs to space group Pm-3m (No. 221); the cell edges are 4.5231, 4.5231 and 4.5231 Å and the angles 90.00°, 90.00° and 90.00°. The distinct sites, in fractional coordinates, are Ca at (0.0000, 0.0000, 0.0000), Co at (0.5000, 0.5000, 0.5000) and Ru at (0.0000, 0.5000, 0.5000).


For the records above, the corresponding magnetic moment values read 0.0000, 0.0000, 0.7831 μB/atom.
For the records above, the corresponding Fermi-level density of states values read 0.00, 5.80, 8.58 states/eV/f.u..